Entry 1:
First-principles (PBE) data for Y6Zn5Ag after structural relaxation, as listed in Alexandria via LeMat-Bulk.

abc: 5.071 7.212 8.019
angles: 90.00 71.51 90.00
Positions (direct):
1 Zn 0.669 0.000 0.663
2 Ag 0.000 0.000 0.000
3 Y 0.500 0.745 0.000
4 Zn 0.000 0.500 0.000
5 Zn 0.667 0.500 0.666
6 Zn 0.331 0.000 0.337
7 Y 0.500 0.255 0.000
8 Zn 0.333 0.500 0.334
9 Y 0.168 0.747 0.664
10 Y 0.832 0.253 0.336
11 Y 0.168 0.253 0.664
12 Y 0.832 0.747 0.336

Results
symmetry	No. 10
formation energy from the elements	-0.35	eV per atom


Entry 2:
First-principles (PBE) data for ErZrPd after structural relaxation, as listed in Alexandria via LeMat-Bulk.

abc: 7.595 7.595 9.511
angles: 144.33 144.33 26.34
Positions (direct):
1 Er 0.266 0.266 0.197
2 Pd 0.013 0.013 0.363
3 Zr 0.606 0.606 0.263
4 Er 0.734 0.734 0.803
5 Zr 0.394 0.394 0.737
6 Pd 0.987 0.987 0.637

Results
symmetry	No. 12
formation energy from the elements	-0.54	eV per atom


Entry 3:
First-principles (PBE) data for ScCrAg2 after structural relaxation, as listed in Alexandria via LeMat-Bulk.

abc: 3.997 3.997 10.301
angles: 78.81 78.81 90.00
Positions (direct):
1 Cr 0.000 0.000 0.000
2 Ag 0.114 0.625 0.250
3 Sc 0.250 0.750 0.500
4 Sc 0.500 0.500 0.000
5 Ag 0.636 0.125 0.250
6 Ag 0.875 0.886 0.750
7 Ag 0.375 0.364 0.750
8 Cr 0.750 0.250 0.500

Results
symmetry	No. 122
formation energy from the elements	0.44	eV per atom